No. 1
ZnGaAu2Br | GGA-PBE | optimized geometry

Cell: 4.860 5.587 4.860 Å, 90.00 90.00 90.00°
Element x y z (fractional)
1 Zn 0.000 0.000 0.000
2 Au 0.000 0.000 0.500
3 Au 0.500 0.000 0.000
4 Ga 0.000 0.500 0.000
5 Br 0.500 0.500 0.500

## Properties
VASP energy ... -2.2562 eV per atom
Symmetry ... P4/mmm (123)
Density ... 7.7 g/cm3

No. 2
ZrGa2AuBr | GGA-PBE | optimized geometry

Cell: 4.805 5.707 4.805 Å, 90.00 90.00 90.00°
Last column: magnetic moment on the atom in μB.
Element x y z (fractional)
1 Ga 0.000 0.000 0.500  0.00
2 Ga 0.500 0.000 0.000  0.02
3 Au 0.000 0.000 0.000  0.04
4 Br 0.500 0.500 0.500  0.00
5 Zr 0.000 0.500 0.000  0.95

## Properties
VASP energy ... -3.7315 eV per atom
Symmetry ... P4/mmm (123)
Density ... 6.4 g/cm3